(1)
Entry from Alexandria: an optimized crystal structure of YGa3Co (GGA-PBEsol).

mass density: 6.653 g/cm3
uncorrected energy: -26.5 eV/cell
magnetization: 0.002 μB per cell
formation energy: -0.3920 eV/atom

a b c (Å): 4.4665 4.4665 4.4665
angles (deg): 90.00 90.00 90.00
With the nearest neighbours (Å) after each atom.
Fractional coordinates of all 5 atoms:
Y  0.0000  0.0000  0.0000  12 Ga 3.16
Ga  0.0000  0.5000  0.5000  2 Co 2.23
Ga  0.5000  0.0000  0.5000  2 Co 2.23
Ga  0.5000  0.5000  0.0000  2 Co 2.23
Co  0.5000  0.5000  0.5000  6 Ga 2.23



(2)
Entry from Alexandria: an optimized crystal structure of Zn2GaCo2 (GGA-PBEsol).

mass density: 8.292 g/cm3
uncorrected energy: -44.9 eV/cell
magnetization: 0.000 μB per cell
formation energy: -0.0925 eV/atom

a b c (Å): 5.8803 5.8803 3.6879
angles (deg): 90.00 90.00 90.00
With the nearest neighbours (Å) after each atom.
Fractional coordinates of all 10 atoms:
Zn  0.1603  0.3397  0.0000  6 Co 2.50-2.54, 1 Zn 2.67
Zn  0.3397  0.8397  0.0000  6 Co 2.50-2.54, 1 Zn 2.67
Zn  0.6603  0.1603  0.0000  6 Co 2.50-2.54, 1 Zn 2.67
Zn  0.8397  0.6603  0.0000  6 Co 2.50-2.54, 1 Zn 2.67
Ga  0.0000  0.0000  0.5000  4 Co 2.28
Ga  0.5000  0.5000  0.5000  4 Co 2.28
Co  0.1366  0.6366  0.5000  1 Co 2.27, 2 Ga 2.28, 6 Zn 2.50-2.54
Co  0.3634  0.1366  0.5000  1 Co 2.27, 2 Ga 2.28, 6 Zn 2.50-2.54
Co  0.6366  0.8634  0.5000  1 Co 2.27, 2 Ga 2.28, 6 Zn 2.50-2.54
Co  0.8634  0.3634  0.5000  1 Co 2.27, 2 Ga 2.28, 6 Zn 2.50-2.54



(3)
Entry from Alexandria: an optimized crystal structure of ZnGaCo2 (GGA-PBEsol).

mass density: 9.283 g/cm3
uncorrected energy: -85.1 eV/cell
magnetization: 0.001 μB per cell
formation energy: -0.2191 eV/atom

a b c (Å): 5.6569 5.6569 5.6569
angles (deg): 90.00 90.00 90.00
With the nearest neighbours (Å) after each atom.
Fractional coordinates of all 16 atoms:
Zn  0.0000  0.0000  0.0000  8 Co 2.45
Zn  0.0000  0.5000  0.5000  8 Co 2.45
Zn  0.5000  0.0000  0.5000  8 Co 2.45
Zn  0.5000  0.5000  0.0000  8 Co 2.45
Ga  0.0000  0.0000  0.5000  8 Co 2.45
Ga  0.0000  0.5000  0.0000  8 Co 2.45
Ga  0.5000  0.0000  0.0000  8 Co 2.45
Ga  0.5000  0.5000  0.5000  8 Co 2.45
Co  0.2500  0.2500  0.2500  4 Zn 2.45, 4 Ga 2.45
Co  0.2500  0.2500  0.7500  4 Zn 2.45, 4 Ga 2.45
Co  0.2500  0.7500  0.2500  4 Zn 2.45, 4 Ga 2.45
Co  0.2500  0.7500  0.7500  4 Zn 2.45, 4 Ga 2.45
Co  0.7500  0.2500  0.2500  4 Zn 2.45, 4 Ga 2.45
Co  0.7500  0.2500  0.7500  4 Zn 2.45, 4 Ga 2.45
Co  0.7500  0.7500  0.2500  4 Zn 2.45, 4 Ga 2.45
Co  0.7500  0.7500  0.7500  4 Ga 2.45, 4 Zn 2.45



(4)
Entry from Alexandria: an optimized crystal structure of ZrGaCo (GGA-PBEsol).

mass density: 8.138 g/cm3
uncorrected energy: -66.0 eV/cell
magnetization: 0.000 μB per cell
formation energy: -0.6125 eV/atom

a b c (Å): 6.8145 6.8145 3.3468
angles (deg): 90.00 90.00 120.00
With the nearest neighbours (Å) after each atom.
Fractional coordinates of all 9 atoms:
Zr  0.0000  0.5945  0.0000  5 Co 2.66-2.76, 6 Ga 2.83-2.95
Zr  0.4055  0.4055  0.0000  5 Co 2.66-2.76, 6 Ga 2.83-2.95
Zr  0.5945  0.0000  0.0000  5 Co 2.66-2.76, 6 Ga 2.83-2.95
Ga  0.0000  0.2598  0.5000  4 Co 2.44-2.56
Ga  0.2598  0.0000  0.5000  4 Co 2.44-2.56
Ga  0.7402  0.7402  0.5000  4 Co 2.44-2.56
Co  0.0000  0.0000  0.0000  6 Ga 2.44
Co  0.3333  0.6667  0.5000  3 Ga 2.56, 6 Zr 2.66
Co  0.6667  0.3333  0.5000  3 Ga 2.56, 6 Zr 2.66



(5)
Entry from Alexandria: an optimized crystal structure of GdCo2Ge2 (GGA-PBEsol).

mass density: 9.075 g/cm3
uncorrected energy: -86.3 eV/cell
magnetization: 14.204 μB per cell
formation energy: -0.6711 eV/atom

a b c (Å): 3.9168 3.9168 10.0287
angles (deg): 90.00 90.00 90.00
With the nearest neighbours (Å) after each atom.
Fractional coordinates of all 10 atoms:
Gd  0.0000  0.0000  0.0000  8 Ge 3.05, 8 Co 3.18
Gd  0.5000  0.5000  0.5000  8 Ge 3.05, 8 Co 3.18
Co  0.0000  0.5000  0.2500  4 Ge 2.31
Co  0.0000  0.5000  0.7500  4 Ge 2.31
Co  0.5000  0.0000  0.2500  4 Ge 2.31
Co  0.5000  0.0000  0.7500  4 Ge 2.31
Ge  0.0000  0.0000  0.3715  4 Co 2.31, 1 Ge 2.58
Ge  0.0000  0.0000  0.6285  4 Co 2.31, 1 Ge 2.58
Ge  0.5000  0.5000  0.1285  4 Co 2.31, 1 Ge 2.58
Ge  0.5000  0.5000  0.8715  4 Co 2.31, 1 Ge 2.58



(6)
Entry from Alexandria: an optimized crystal structure of Gd2Co2I (GGA-PBEsol).

mass density: 8.441 g/cm3
uncorrected energy: -98.6 eV/cell
magnetization: 28.604 μB per cell
uncorrected formation energy: -0.63 eV/atom

a b c (Å): 3.8871 3.8871 16.8161
angles (deg): 90.00 90.00 120.00
With the nearest neighbours (Å) after each atom.
Fractional coordinates of all 10 atoms:
Gd  0.0000  0.0000  0.1054  6 Co 2.85-2.87
Gd  0.0000  0.0000  0.3946  6 Co 2.85-2.87
Gd  0.0000  0.0000  0.6054  6 Co 2.85-2.87
Gd  0.0000  0.0000  0.8946  6 Co 2.85-2.87
Co  0.3333  0.6667  0.0007  3 Co 2.24
Co  0.3333  0.6667  0.4993  3 Co 2.24
Co  0.6667  0.3333  0.5007  3 Co 2.24
Co  0.6667  0.3333  0.9993  3 Co 2.24
I  0.3333  0.6667  0.7500  6 Gd 3.31
I  0.6667  0.3333  0.2500  6 Gd 3.31